# La3NdDy6Y2 PBE optimized geometry
# Formation energy from the elements in kJ/mol of formula units: 22
data_La3NdDy6Y2
_chemical_formula_sum 'La6 Nd2 Dy12 Y4'
_cell_length_a 6.2581
_cell_length_b 10.8419
_cell_length_c 11.9216
_cell_angle_alpha 90.00
_cell_angle_beta 100.07
_cell_angle_gamma 90.00
_space_group_name_H-M_alt 'C 1 2/m 1'
_space_group_IT_number 12
loop_
_space_group_symop_operation_xyz
'x,y,z'
'-x,-y,-z'
'-x,y,-z'
'x,-y,z'
'x+1/2,y+1/2,z'
'-x+1/2,-y+1/2,-z'
'-x+1/2,y+1/2,-z'
'x+1/2,-y+1/2,z'
loop_
_atom_site_label
_atom_site_type_symbol
_atom_site_fract_x
_atom_site_fract_y
_atom_site_fract_z
La1 La 0.0000 0.0000 0.0000
La2 La 0.0000 0.3332 0.0000
Nd1 Nd 0.0000 0.5000 0.5000
Dy1 Dy 0.2486 0.0000 0.7465
Dy2 Dy 0.2487 0.3333 0.7463
Y1 Y 0.0000 0.1668 0.5000


# La2Nd4Dy2Y PBE optimized geometry
# Formation energy from the elements in kJ/mol of formula units: 6
data_La2Nd4Dy2Y
_chemical_formula_sum 'La4 Nd8 Dy4 Y2'
_cell_length_a 19.1078
_cell_length_b 3.6929
_cell_length_c 9.7858
_cell_angle_alpha 90.00
_cell_angle_beta 115.73
_cell_angle_gamma 90.00
_space_group_name_H-M_alt 'C 1 2/m 1'
_space_group_IT_number 12
loop_
_space_group_symop_operation_xyz
'x,y,z'
'-x,-y,-z'
'-x,y,-z'
'x,-y,z'
'x+1/2,y+1/2,z'
'-x+1/2,-y+1/2,-z'
'-x+1/2,y+1/2,-z'
'x+1/2,-y+1/2,z'
loop_
_atom_site_label
_atom_site_type_symbol
_atom_site_fract_x
_atom_site_fract_y
_atom_site_fract_z
La1 La 0.1662 0.0000 0.4982
Nd1 Nd 0.0189 0.0000 0.8366
Nd2 Nd 0.1861 0.5000 0.8343
Dy1 Dy 0.1479 0.5000 0.1664
Y1 Y 0.0000 0.5000 0.5000


# LaNd3Dy6Y2 PBE optimized geometry
# Formation energy from the elements in kJ/mol of formula units: 21
data_LaNd3Dy6Y2
_chemical_formula_sum 'La2 Nd6 Dy12 Y4'
_cell_length_a 6.2396
_cell_length_b 10.8076
_cell_length_c 11.9112
_cell_angle_alpha 90.00
_cell_angle_beta 100.04
_cell_angle_gamma 90.00
_space_group_name_H-M_alt 'C 1 2/m 1'
_space_group_IT_number 12
loop_
_space_group_symop_operation_xyz
'x,y,z'
'-x,-y,-z'
'-x,y,-z'
'x,-y,z'
'x+1/2,y+1/2,z'
'-x+1/2,-y+1/2,-z'
'-x+1/2,y+1/2,-z'
'x+1/2,-y+1/2,z'
loop_
_atom_site_label
_atom_site_type_symbol
_atom_site_fract_x
_atom_site_fract_y
_atom_site_fract_z
La1 La 0.0000 0.0000 0.0000
Nd1 Nd 0.0000 0.1671 0.5000
Nd2 Nd 0.0000 0.5000 0.5000
Dy1 Dy 0.2493 0.3331 0.7504
Dy2 Dy 0.2503 0.0000 0.7502
Y1 Y 0.0000 0.3333 0.0000


# LaNdDy2Y6 PBE optimized geometry
# Formation energy from the elements in kJ/mol of formula units: 116
data_LaNdDy2Y6
_chemical_formula_sum 'La4 Nd4 Dy8 Y24'
_cell_length_a 9.2485
_cell_length_b 15.1386
_cell_length_c 9.6199
_cell_angle_alpha 90.00
_cell_angle_beta 96.62
_cell_angle_gamma 90.00
_space_group_name_H-M_alt 'C 1 2/c 1'
_space_group_IT_number 15
loop_
_space_group_symop_operation_xyz
'x,y,z'
'-x,-y,-z'
'-x,y,-z+1/2'
'x,-y,z+1/2'
'x+1/2,y+1/2,z'
'-x+1/2,-y+1/2,-z'
'-x+1/2,y+1/2,-z+1/2'
'x+1/2,-y+1/2,z+1/2'
loop_
_atom_site_label
_atom_site_type_symbol
_atom_site_fract_x
_atom_site_fract_y
_atom_site_fract_z
La1 La 0.0000 0.0304 0.2500
Nd1 Nd 0.0000 0.4095 0.7500
Dy1 Dy 0.2468 0.0518 0.5506
Y1 Y 0.0646 0.1834 0.9420
Y2 Y 0.0959 0.3902 0.1144
Y3 Y 0.2097 0.2277 0.3203


# LaNd6Dy3Y2 PBE optimized geometry
# Formation energy from the elements in kJ/mol of formula units: 18
data_LaNd6Dy3Y2
_chemical_formula_sum 'La2 Nd12 Dy6 Y4'
_cell_length_a 6.3075
_cell_length_b 10.9251
_cell_length_c 11.9952
_cell_angle_alpha 90.00
_cell_angle_beta 100.09
_cell_angle_gamma 90.00
_space_group_name_H-M_alt 'C 1 2/m 1'
_space_group_IT_number 12
loop_
_space_group_symop_operation_xyz
'x,y,z'
'-x,-y,-z'
'-x,y,-z'
'x,-y,z'
'x+1/2,y+1/2,z'
'-x+1/2,-y+1/2,-z'
'-x+1/2,y+1/2,-z'
'x+1/2,-y+1/2,z'
loop_
_atom_site_label
_atom_site_type_symbol
_atom_site_fract_x
_atom_site_fract_y
_atom_site_fract_z
La1 La 0.0000 0.0000 0.0000
Nd1 Nd 0.2491 0.0000 0.7468
Nd2 Nd 0.2486 0.3331 0.7469
Dy1 Dy 0.0000 0.1671 0.5000
Dy2 Dy 0.0000 0.5000 0.5000
Y1 Y 0.0000 0.3335 0.0000


# La5Nd2DyY PBE optimized geometry
# Formation energy from the elements in kJ/mol of formula units: 230
data_La5Nd2DyY
_chemical_formula_sum 'La20 Nd8 Dy4 Y4'
_cell_length_a 8.7346
_cell_length_b 8.7346
_cell_length_c 17.0562
_cell_angle_alpha 90.00
_cell_angle_beta 90.00
_cell_angle_gamma 90.00
_space_group_name_H-M_alt 'I 4/m c m'
_space_group_IT_number 140
_space_group_name_Hall '-I 4 2c'
loop_
_atom_site_label
_atom_site_type_symbol
_atom_site_fract_x
_atom_site_fract_y
_atom_site_fract_z
La1 La 0.0000 0.0000 0.0000
La2 La 0.2193 0.2807 0.1435
Nd1 Nd 0.1223 0.3777 0.5000
Dy1 Dy 0.0000 0.0000 0.2500
Y1 Y 0.0000 0.5000 0.2500